VASP calculation (PBE-GGA) on InAg2 after structural relaxation.

Space group ... P6_3/mmc (194)
Formation energy from the elements ... 0.1 eV per formula unit
Uncorrected energy ... -33.3 eV for the cell shown

abc: 5.597 5.597 9.204
angles: 90.00 90.00 120.00
Sites, in units of the cell vectors:
In1 0.333 0.667 0.063
In2 0.333 0.667 0.437
In3 0.667 0.333 0.563
In4 0.667 0.333 0.937
Ag1 0.000 0.000 0.000
Ag2 0.000 0.000 0.500
Ag3 0.169 0.339 0.750
Ag4 0.169 0.831 0.750
Ag5 0.339 0.169 0.250
Ag6 0.661 0.831 0.750
Ag7 0.831 0.169 0.250
Ag8 0.831 0.661 0.250

VASP calculation (PBE-GGA) on LiPu2Fe after structural relaxation.

Space group ... R-3m (166)
Formation energy from the elements ... 1.9 eV per formula unit
Uncorrected energy ... -37.2 eV for the cell shown
Energy above the lowest structure with this stoichiometry ... 0.3205 eV/atom

abc: 11.107 11.107 11.107
angles: 13.75 13.75 13.75
Sites, in units of the cell vectors:
Li1 0.000 0.000 0.000
Pu1 0.089 0.089 0.089
Pu2 0.911 0.911 0.911
Fe1 0.500 0.500 0.500